Entry 1:
A relaxed structure of LiCoCl. Source: Alexandria, functional PBE-GGA.

Cell lengths 3.7970, 3.7970, 3.3908 Å; angles 90.00, 90.00, 120.00 degrees
Space group P-6m2 (No. 187)
Unique sites:
1 Li 0.0000 0.0000 0.0000 [1 per cell]
2 Co 0.6667 0.3333 0.5000 [1 per cell]
3 Cl 0.3333 0.6667 0.5000 [1 per cell]

Total moment (μB per atom): 0.3071
Formation energy (no corrections) (meV per atom): -68
DOS at the Fermi energy (states/eV/cell): 3.2
Relative energy among the computed polymorphs (meV/atom): 40

Entry 2:
A relaxed structure of CsTaS2Cl. Source: Alexandria, functional PBE-GGA.

Cell lengths 4.878, 4.878, 5.155 Å; angles 90.00, 90.00, 90.00 degrees
Space group P4/mmm (No. 123)
Unique sites:
1 Cs 0.000 0.000 0.000 [1 per cell]
2 Ta 0.500 0.500 0.500 [1 per cell]
3 S 0.000 0.500 0.500 [2 per cell]
4 Cl 0.500 0.500 0.000 [1 per cell]

Total moment (μB per atom): 0.0103
Formation energy (no corrections) (meV per atom): -1063
DOS at the Fermi energy (states/eV/cell): 3.0
Relative energy among the computed polymorphs (meV/atom): 0

Entry 3:
A relaxed structure of K2NaSiP2. Source: Alexandria, functional PBE-GGA.

Cell lengths 6.948, 14.685, 6.279 Å; angles 90.00, 90.00, 90.00 degrees
Space group Ibam (No. 72)
Unique sites:
1 K 0.233 0.180 0.000 [8 per cell]
2 Na 0.000 0.500 0.250 [4 per cell]
3 Si 0.000 0.000 0.250 [4 per cell]
4 P 0.187 0.083 0.500 [8 per cell]

Total moment (μB per atom): 0.0000
Formation energy (no corrections) (meV per atom): -306
DOS at the Fermi energy (states/eV/cell): 11.5

Entry 4:
A relaxed structure of AsSF2. Source: Alexandria, functional PBE-GGA.

Cell lengths 2.8130, 2.8130, 26.0942 Å; angles 90.00, 90.00, 120.00 degrees
Space group R-3m (No. 166, hexagonal axes)
Unique sites:
1 As 0.0000 0.0000 0.0000 [3 per cell]
2 S 0.0000 0.0000 0.5000 [3 per cell]
3 F 0.0000 0.0000 0.4326 [6 per cell]

Total moment (μB per atom): 0.0000
Formation energy (no corrections) (meV per atom): -564
DOS at the Fermi energy (states/eV/cell): 6.7
Relative energy among the computed polymorphs (meV/atom): 503

Entry 5:
A relaxed structure of La2HfNiS5. Source: Alexandria, functional PBE-GGA.

Cell lengths 3.836, 16.469, 11.748 Å; angles 90.00, 90.00, 90.00 degrees
Space group Cmc2_1 (No. 36)
Unique sites:
1 La 0.000 0.116 0.000 [4 per cell]
2 La 0.000 0.120 0.361 [4 per cell]
3 Hf 0.000 0.179 0.681 [4 per cell]
4 Ni 0.000 0.433 0.094 [4 per cell]
5 S 0.000 0.030 0.689 [4 per cell]
6 S 0.000 0.304 0.032 [4 per cell]
7 S 0.000 0.304 0.334 [4 per cell]
8 S 0.000 0.341 0.681 [4 per cell]
9 S 0.000 0.500 0.428 [4 per cell]

Total moment (μB per atom): 0.0000
Formation energy (no corrections) (meV per atom): -1744
DOS at the Fermi energy (states/eV/cell): 4.9

Entry 6:
A relaxed structure of La2DyHgO. Source: Alexandria, functional PBE-GGA.

Cell lengths 5.088, 5.088, 4.760 Å; angles 90.00, 90.00, 90.00 degrees
Space group P4/mmm (No. 123)
Unique sites:
1 La 0.000 0.500 0.000 [2 per cell]
2 Dy 0.000 0.000 0.500 [1 per cell]
3 Hg 0.500 0.500 0.500 [1 per cell]
4 O 0.000 0.000 0.000 [1 per cell]

Total moment (μB per atom): 0.0000
Formation energy (no corrections) (meV per atom): -1350
DOS at the Fermi energy (states/eV/cell): 3.6

Entry 7:
A relaxed structure of Mn2MoCl. Source: Alexandria, functional PBE-GGA.

Cell lengths 2.931, 2.931, 7.067 Å; angles 90.00, 90.00, 90.00 degrees
Space group P4mm (No. 99)
Unique sites:
1 Mn 0.000 0.000 0.000 [1 per cell]
2 Mn 0.500 0.500 0.231 [1 per cell]
3 Mo 0.000 0.000 0.422 [1 per cell]
4 Cl 0.500 0.500 0.713 [1 per cell]

Total moment (μB per atom): 0.9407
Formation energy (no corrections) (meV per atom): 272
DOS at the Fermi energy (states/eV/cell): 3.2
Relative energy among the computed polymorphs (meV/atom): 129

Among the records above, which one has the highest total moment? Mn2MoCl